# La2TaOs, relaxed, DFT PBE-GGA
# ΔE to the lowest computed polymorph ... 707 meV per atom
# Magnetization ... 0.00 μB/f.u.
# ΔE_f ... 714 meV/atom
data_La2TaOs
_chemical_formula_sum 'La4 Ta2 Os2'
_symmetry_space_group_name_H-M 'P 1'
_symmetry_Int_Tables_number 1
_symmetry_space_group_name_Hall 'P 1'
_cell_length_a 8.624
_cell_length_b 8.624
_cell_length_c 6.719
_cell_angle_alpha 50.08
_cell_angle_beta 50.08
_cell_angle_gamma 90.00
loop_
_atom_site_label
_atom_site_fract_x
_atom_site_fract_y
_atom_site_fract_z
La1 0.689 0.125 0.250
La2 0.061 0.625 0.250
La3 0.375 0.311 0.750
La4 0.875 0.939 0.750
Os1 0.000 0.000 0.000
Os2 0.750 0.250 0.500
Ta1 0.500 0.500 0.000
Ta2 0.250 0.750 0.500